#one
Crystalline LaSbBr2 at its relaxed geometry. Source: the Alexandria database, functional GGA-PBE.

## Properties
Space group   No. 225
Total moment   0.00 μB/atom
Calculated volume   112.2 Å³/f.u.

abc: 5.4131 5.4131 5.4131
angles: 60.00 60.00 60.00
Last column: nearest neighbours and their distance in Å.
Positions (direct):
Sb  0.0000  0.0000  0.0000  8 Br 3.31
Br  0.2500  0.2500  0.2500  4 La 3.31, 4 Sb 3.31
Br  0.7500  0.7500  0.7500  4 La 3.31, 4 Sb 3.31
La  0.5000  0.5000  0.5000  8 Br 3.31

---

#two
Crystalline LaSbBr2 at its relaxed geometry. Source: the Alexandria database, functional GGA-PBE.

## Properties
Space group   No. 12
Total moment   0.00 μB/atom
Calculated volume   155.8 Å³/f.u.

abc: 7.5746 7.5746 5.1386
angles: 82.62 82.62 32.23
Last column: nearest neighbours and their distance in Å.
Positions (direct):
Sb  0.7500  0.7500  0.7500  2 Br 2.87
Br  0.9037  0.9037  0.0478  1 Sb 2.87, 2 La 3.14
Br  0.5963  0.5963  0.4522  1 Sb 2.87, 2 La 3.14
La  0.2500  0.2500  0.2500  4 Br 3.14, 4 Sb 3.32

---

Stability ranking, top entry: #two; the second entry is 0.394 eV/atom less favorable.